[1]
The following is a PBE calculation of crystalline ZrAg2Os at its relaxed geometry, from the Alexandria database.

## Properties
Space group   No. 166
DOS at the Fermi energy   6.4 states/eV/cell
E_form   0.430 eV per atom
Relative energy among the computed polymorphs   1.43 eV/f.u.

Lattice parameters (Å, degrees): 2.833 2.833 30.269 90.00 90.00 120.00
Sites, in units of the cell vectors:
Zr: 0.000 0.000 0.000
Zr: 0.333 0.667 0.667
Zr: 0.667 0.333 0.333
Ag: 0.000 0.000 0.246
Ag: 0.000 0.000 0.754
Ag: 0.333 0.667 0.421
Ag: 0.333 0.667 0.913
Ag: 0.667 0.333 0.087
Ag: 0.667 0.333 0.579
Os: 0.000 0.000 0.500
Os: 0.333 0.667 0.167
Os: 0.667 0.333 0.833



[2]
The following is a PBE calculation of crystalline AlV6Cr2 at its relaxed geometry, from the Alexandria database.

## Properties
Space group   No. 12
DOS at the Fermi energy   9.8 states/eV/cell
E_form   -0.059 eV per atom
Relative energy among the computed polymorphs   0.00 eV/f.u.

Lattice parameters (Å, degrees): 6.592 6.592 4.845 110.34 110.34 37.34
Sites, in units of the cell vectors:
Al: 0.000 0.000 0.000
V: 0.222 0.222 0.102
V: 0.336 0.336 0.665
V: 0.443 0.443 0.240
V: 0.557 0.557 0.760
V: 0.664 0.664 0.335
V: 0.778 0.778 0.898
Cr: 0.113 0.113 0.570
Cr: 0.887 0.887 0.430



[3]
The following is a PBE calculation of crystalline Zr2InRu at its relaxed geometry, from the Alexandria database.

## Properties
Space group   No. 216
DOS at the Fermi energy   16.2 states/eV/cell
E_form   -0.150 eV per atom

Lattice parameters (Å, degrees): 6.768 6.768 6.768 90.00 90.00 90.00
Sites, in units of the cell vectors:
Zr: 0.000 0.000 0.000
Zr: 0.000 0.500 0.500
Zr: 0.250 0.250 0.250
Zr: 0.250 0.750 0.750
Zr: 0.500 0.000 0.500
Zr: 0.500 0.500 0.000
Zr: 0.750 0.250 0.750
Zr: 0.750 0.750 0.250
In: 0.250 0.250 0.750
In: 0.250 0.750 0.250
In: 0.750 0.250 0.250
In: 0.750 0.750 0.750
Ru: 0.000 0.000 0.500
Ru: 0.000 0.500 0.000
Ru: 0.500 0.000 0.000
Ru: 0.500 0.500 0.500



[4]
The following is a PBE calculation of crystalline PrNd6Y3Er2 at its relaxed geometry, from the Alexandria database.

## Properties
Space group   No. 12
DOS at the Fermi energy   14.7 states/eV/cell
E_form   0.012 eV per atom

Lattice parameters (Å, degrees): 6.299 6.299 11.942 95.03 95.03 120.00
Sites, in units of the cell vectors:
Pr: 0.000 0.000 0.000
Nd: 0.084 0.418 0.250
Nd: 0.251 0.251 0.750
Nd: 0.418 0.084 0.250
Nd: 0.582 0.916 0.750
Nd: 0.749 0.749 0.250
Nd: 0.916 0.582 0.750
Y: 0.167 0.833 0.500
Y: 0.500 0.500 0.500
Y: 0.833 0.167 0.500
Er: 0.333 0.667 0.000
Er: 0.667 0.333 0.000



[5]
The following is a PBE calculation of crystalline ScHg2Os at its relaxed geometry, from the Alexandria database.

## Properties
Space group   No. 216
DOS at the Fermi energy   10.3 states/eV/cell
E_form   0.286 eV per atom
Relative energy among the computed polymorphs   0.79 eV/f.u.

Lattice parameters (Å, degrees): 6.740 6.740 6.740 90.00 90.00 90.00
Sites, in units of the cell vectors:
Sc: 0.000 0.000 0.000
Sc: 0.000 0.500 0.500
Sc: 0.500 0.000 0.500
Sc: 0.500 0.500 0.000
Hg: 0.000 0.000 0.500
Hg: 0.000 0.500 0.000
Hg: 0.250 0.250 0.750
Hg: 0.250 0.750 0.250
Hg: 0.500 0.000 0.000
Hg: 0.500 0.500 0.500
Hg: 0.750 0.250 0.250
Hg: 0.750 0.750 0.750
Os: 0.250 0.250 0.250
Os: 0.250 0.750 0.750
Os: 0.750 0.250 0.750
Os: 0.750 0.750 0.250



[6]
The following is a PBE calculation of crystalline PmSm2Ga3 at its relaxed geometry, from the Alexandria database.

## Properties
Space group   No. 123
DOS at the Fermi energy   3.0 states/eV/cell
E_form   -0.571 eV per atom

Lattice parameters (Å, degrees): 3.650 3.650 10.998 90.00 90.00 90.00
Sites, in units of the cell vectors:
Pm: 0.000 0.000 0.000
Sm: 0.000 0.000 0.334
Sm: 0.000 0.000 0.666
Ga: 0.500 0.500 0.169
Ga: 0.500 0.500 0.500
Ga: 0.500 0.500 0.831



[7]
The following is a PBE calculation of crystalline Pm2Dy4Y at its relaxed geometry, from the Alexandria database.

## Properties
Space group   No. 12
DOS at the Fermi energy   22.5 states/eV/cell
E_form   0.049 eV per atom
Relative energy among the computed polymorphs   0.00 eV/f.u.

Lattice parameters (Å, degrees): 16.910 3.553 8.784 90.00 119.96 90.00
Sites, in units of the cell vectors:
Pm: 0.070 0.000 0.431
Pm: 0.430 0.500 0.569
Pm: 0.570 0.500 0.431
Pm: 0.930 0.000 0.569
Dy: 0.145 0.500 0.844
Dy: 0.205 0.500 0.293
Dy: 0.295 0.000 0.707
Dy: 0.355 0.000 0.156
Dy: 0.645 0.000 0.844
Dy: 0.705 0.000 0.293
Dy: 0.795 0.500 0.707
Dy: 0.855 0.500 0.156
Y: 0.000 0.000 0.000
Y: 0.500 0.500 0.000



[8]
The following is a PBE calculation of crystalline HoErBeCd at its relaxed geometry, from the Alexandria database.

## Properties
Space group   No. 216
DOS at the Fermi energy   13.7 states/eV/cell
E_form   -0.046 eV per atom

Lattice parameters (Å, degrees): 7.155 7.155 7.155 90.00 90.00 90.00
Sites, in units of the cell vectors:
Ho: 0.000 0.000 0.000
Ho: 0.000 0.500 0.500
Ho: 0.500 0.000 0.500
Ho: 0.500 0.500 0.000
Er: 0.000 0.000 0.500
Er: 0.000 0.500 0.000
Er: 0.500 0.000 0.000
Er: 0.500 0.500 0.500
Be: 0.250 0.250 0.750
Be: 0.250 0.750 0.250
Be: 0.750 0.250 0.250
Be: 0.750 0.750 0.750
Cd: 0.250 0.250 0.250
Cd: 0.250 0.750 0.750
Cd: 0.750 0.250 0.750
Cd: 0.750 0.750 0.250



Please write out number 1 again, unchanged.
The following is a PBE calculation of crystalline ZrAg2Os at its relaxed geometry, from the Alexandria database.

## Properties
Space group   No. 166
DOS at the Fermi energy   6.4 states/eV/cell
E_form   0.430 eV per atom
Relative energy among the computed polymorphs   1.43 eV/f.u.

Lattice parameters (Å, degrees): 2.833 2.833 30.269 90.00 90.00 120.00
Sites, in units of the cell vectors:
Zr: 0.000 0.000 0.000
Zr: 0.333 0.667 0.667
Zr: 0.667 0.333 0.333
Ag: 0.000 0.000 0.246
Ag: 0.000 0.000 0.754
Ag: 0.333 0.667 0.421
Ag: 0.333 0.667 0.913
Ag: 0.667 0.333 0.087
Ag: 0.667 0.333 0.579
Os: 0.000 0.000 0.500
Os: 0.333 0.667 0.167
Os: 0.667 0.333 0.833



Among the records above, which one has the highest E_form? ZrAg2Os